## Ba3NdP2N6 (PBE-GGA)

Data for an optimized crystal structure of Ba3NdP2N6.

Values from the calculation:
For the total energy, the calculation gives -0.251 hartree per atom. As for the symmetry: No. 164.

```
data_Ba3NdP2N6
_chemical_formula_sum 'Ba3 Nd1 P2 N6'
_space_group_name_H-M_alt 'P 1'
_space_group_IT_number 1
_cell_length_a 6.0642
_cell_length_b 6.0642
_cell_length_c 7.3892
_cell_angle_alpha 90.00
_cell_angle_beta 90.00
_cell_angle_gamma 120.00
loop_
_space_group_symop_operation_xyz
'x,y,z'
loop_
_atom_site_label
_atom_site_fract_x
_atom_site_fract_y
_atom_site_fract_z
N1 0.8178 0.6357 0.7100
N2 0.3643 0.1822 0.7100
N3 0.6357 0.8178 0.2900
N4 0.1822 0.3643 0.2900
N5 0.8178 0.1822 0.7100
N6 0.1822 0.8178 0.2900
Ba1 0.0000 0.0000 0.0000
Ba2 0.6667 0.3333 0.3011
Ba3 0.3333 0.6667 0.6989
P1 0.6667 0.3333 0.7382
P2 0.3333 0.6667 0.2618
Nd1 0.0000 0.0000 0.5000
```



## Ba2NdP2N6 (PBE-GGA)

Data for an optimized crystal structure of Ba2NdP2N6.

Values from the calculation:
For the total energy, the calculation gives -0.261 hartree per atom. As for the symmetry: No. 166.

```
data_Ba2NdP2N6
_chemical_formula_sum 'Ba2 Nd1 P2 N6'
_space_group_name_H-M_alt 'P 1'
_space_group_IT_number 1
_cell_length_a 5.9331
_cell_length_b 5.9331
_cell_length_c 7.2184
_cell_angle_alpha 65.73
_cell_angle_beta 65.73
_cell_angle_gamma 60.00
loop_
_space_group_symop_operation_xyz
'x,y,z'
loop_
_atom_site_label
_atom_site_fract_x
_atom_site_fract_y
_atom_site_fract_z
P1 0.4177 0.4177 0.7469
P2 0.5823 0.5823 0.2531
N1 0.2645 0.2645 0.7448
N2 0.2645 0.7261 0.7448
N3 0.2739 0.7355 0.2552
N4 0.7261 0.2645 0.7448
N5 0.7355 0.7355 0.2552
N6 0.7355 0.2739 0.2552
Nd1 0.0000 0.0000 0.0000
Ba1 0.2093 0.2093 0.3720
Ba2 0.7907 0.7907 0.6280
```



## Ba4NdPa3N8 (PBE-GGA)

Data for an optimized crystal structure of Ba4NdPa3N8.

Values from the calculation:
For the total energy, the calculation gives -0.292 hartree per atom. As for the symmetry: No. 166.

```
data_Ba4NdPa3N8
_chemical_formula_sum 'Ba4 Nd1 Pa3 N8'
_space_group_name_H-M_alt 'P 1'
_space_group_IT_number 1
_cell_length_a 7.3359
_cell_length_b 7.7257
_cell_length_c 7.3355
_cell_angle_alpha 118.34
_cell_angle_beta 120.00
_cell_angle_gamma 90.00
loop_
_space_group_symop_operation_xyz
'x,y,z'
loop_
_atom_site_label
_atom_site_fract_x
_atom_site_fract_y
_atom_site_fract_z
N1 0.2994 0.3237 0.0616
N2 0.2379 0.6763 0.9384
N3 0.7006 0.6763 0.9384
N4 0.7621 0.3237 0.5243
N5 0.2379 0.6763 0.4757
N6 0.7621 0.3237 0.0616
N7 0.2747 0.3243 0.5495
N8 0.7253 0.6757 0.4505
Ba1 0.0000 0.0000 0.5000
Ba2 0.0000 0.0000 0.0000
Ba3 0.5000 0.0000 0.0000
Ba4 0.5000 0.0000 0.5000
Pa1 0.5000 0.5000 0.5000
Pa2 0.5000 0.5000 0.0000
Pa3 0.0000 0.5000 0.5000
Nd1 0.0000 0.5000 0.0000
```



## BaNd3Pa2N6 (PBE-GGA)

Data for an optimized crystal structure of BaNd3Pa2N6.

Values from the calculation:
For the total energy, the calculation gives -0.310 hartree per atom. As for the symmetry: No. 12.

```
data_BaNd3Pa2N6
_chemical_formula_sum 'Ba1 Nd3 Pa2 N6'
_space_group_name_H-M_alt 'P 1'
_space_group_IT_number 1
_cell_length_a 3.6319
_cell_length_b 7.3333
_cell_length_c 8.2481
_cell_angle_alpha 101.45
_cell_angle_beta 102.72
_cell_angle_gamma 90.00
loop_
_space_group_symop_operation_xyz
'x,y,z'
loop_
_atom_site_label
_atom_site_fract_x
_atom_site_fract_y
_atom_site_fract_z
Nd1 0.1708 0.8410 0.3415
Nd2 0.8292 0.1590 0.6585
Nd3 0.5000 0.5000 0.0000
N1 0.6770 0.1221 0.3539
N2 0.9678 0.7043 0.9355
N3 0.3244 0.4318 0.6489
N4 0.3230 0.8779 0.6461
N5 0.0322 0.2957 0.0645
N6 0.6756 0.5682 0.3511
Pa1 0.1695 0.3374 0.3389
Pa2 0.8305 0.6626 0.6611
Ba1 0.5000 0.0000 0.0000
```



## BaNd2PaN4 (PBE-GGA)

Data for an optimized crystal structure of BaNd2PaN4.

Values from the calculation:
For the total energy, the calculation gives -0.288 hartree per atom. As for the symmetry: No. 63.

```
data_BaNd2PaN4
_chemical_formula_sum 'Ba2 Nd4 Pa2 N8'
_space_group_name_H-M_alt 'P 1'
_space_group_IT_number 1
_cell_length_a 3.7261
_cell_length_b 6.7078
_cell_length_c 13.0428
_cell_angle_alpha 90.00
_cell_angle_beta 90.00
_cell_angle_gamma 106.13
loop_
_space_group_symop_operation_xyz
'x,y,z'
loop_
_atom_site_label
_atom_site_fract_x
_atom_site_fract_y
_atom_site_fract_z
N1 0.7604 0.5208 0.8841
N2 0.0000 0.0000 0.0000
N3 0.0000 0.0000 0.5000
N4 0.5421 0.0843 0.2500
N5 0.4579 0.9157 0.7500
N6 0.2396 0.4792 0.3841
N7 0.2396 0.4792 0.1159
N8 0.7604 0.5208 0.6159
Nd1 0.3695 0.7391 0.5194
Nd2 0.3695 0.7391 0.9806
Nd3 0.6305 0.2609 0.4806
Nd4 0.6305 0.2609 0.0194
Ba1 0.8660 0.7320 0.2500
Ba2 0.1340 0.2680 0.7500
Pa1 0.1342 0.2685 0.2500
Pa2 0.8658 0.7315 0.7500
```



## BaNd3Pa4N12 (PBE-GGA)

Data for an optimized crystal structure of BaNd3Pa4N12.

Values from the calculation:
For the total energy, the calculation gives -0.324 hartree per atom. As for the symmetry: No. 204.

```
data_BaNd3Pa4N12
_chemical_formula_sum 'Ba1 Nd3 Pa4 N12'
_space_group_name_H-M_alt 'P 1'
_space_group_IT_number 1
_cell_length_a 7.4796
_cell_length_b 7.4796
_cell_length_c 7.4796
_cell_angle_alpha 109.47
_cell_angle_beta 109.47
_cell_angle_gamma 109.47
loop_
_space_group_symop_operation_xyz
'x,y,z'
loop_
_atom_site_label
_atom_site_fract_x
_atom_site_fract_y
_atom_site_fract_z
Nd1 0.0000 0.5000 0.5000
Nd2 0.5000 0.5000 0.0000
Nd3 0.5000 0.0000 0.5000
N1 0.2983 0.7913 0.0896
N2 0.2087 0.9104 0.7017
N3 0.7913 0.4930 0.7017
N4 0.9104 0.7017 0.2087
N5 0.2983 0.2087 0.5070
N6 0.7913 0.0896 0.2983
N7 0.4930 0.7017 0.7913
N8 0.7017 0.2087 0.9104
N9 0.0896 0.2983 0.7913
N10 0.5070 0.2983 0.2087
N11 0.7017 0.7913 0.4930
N12 0.2087 0.5070 0.2983
Pa1 0.5000 0.5000 0.5000
Pa2 0.0000 0.5000 0.0000
Pa3 0.5000 0.0000 0.0000
Pa4 0.0000 0.0000 0.5000
Ba1 0.0000 0.0000 0.0000
```



## BaNdPa4N8 (PBE-GGA)

Data for an optimized crystal structure of BaNdPa4N8.

Values from the calculation:
For the total energy, the calculation gives -0.345 hartree per atom. As for the symmetry: No. 160.

```
data_BaNdPa4N8
_chemical_formula_sum 'Ba1 Nd1 Pa4 N8'
_space_group_name_H-M_alt 'P 1'
_space_group_IT_number 1
_cell_length_a 7.1377
_cell_length_b 7.1377
_cell_length_c 7.1373
_cell_angle_alpha 60.00
_cell_angle_beta 60.00
_cell_angle_gamma 60.00
loop_
_space_group_symop_operation_xyz
'x,y,z'
loop_
_atom_site_label
_atom_site_fract_x
_atom_site_fract_y
_atom_site_fract_z
Pa1 0.4915 0.0027 0.5032
Pa2 0.6201 0.6201 0.1398
Pa3 0.0027 0.4915 0.5032
Pa4 0.0027 0.0027 0.5032
Nd1 0.0008 0.0008 0.9976
N1 0.2306 0.7455 0.2783
N2 0.2368 0.2368 0.6994
N3 0.7582 0.7582 0.7253
N4 0.7455 0.2306 0.2783
N5 0.2368 0.8270 0.6994
N6 0.7455 0.7455 0.2783
N7 0.2244 0.2244 0.3269
N8 0.8270 0.2368 0.6994
Ba1 0.3775 0.3775 0.8676
```



## BaNd2PuN4 (PBE-GGA)

Data for an optimized crystal structure of BaNd2PuN4.

Values from the calculation:
For the total energy, the calculation gives -0.307 hartree per atom. As for the symmetry: No. 63.

```
data_BaNd2PuN4
_chemical_formula_sum 'Ba2 Nd4 Pu2 N8'
_space_group_name_H-M_alt 'P 1'
_space_group_IT_number 1
_cell_length_a 3.6945
_cell_length_b 7.0384
_cell_length_c 12.7284
_cell_angle_alpha 90.00
_cell_angle_beta 90.00
_cell_angle_gamma 105.22
loop_
_space_group_symop_operation_xyz
'x,y,z'
loop_
_atom_site_label
_atom_site_fract_x
_atom_site_fract_y
_atom_site_fract_z
N1 0.0000 0.0000 0.5000
N2 0.7583 0.5166 0.9031
N3 0.3759 0.7517 0.7500
N4 0.0000 0.0000 0.0000
N5 0.2417 0.4834 0.0969
N6 0.6241 0.2483 0.2500
N7 0.7583 0.5166 0.5969
N8 0.2417 0.4834 0.4031
Pu1 0.7712 0.5424 0.7500
Pu2 0.2288 0.4576 0.2500
Nd1 0.6285 0.2570 0.4665
Nd2 0.3715 0.7430 0.5335
Nd3 0.6285 0.2570 0.0335
Nd4 0.3715 0.7430 0.9665
Ba1 0.0300 0.0600 0.7500
Ba2 0.9700 0.9400 0.2500
```



## BaNd2ReN4 (PBE-GGA)

Data for an optimized crystal structure of BaNd2ReN4.

Values from the calculation:
For the total energy, the calculation gives -0.294 hartree per atom. As for the symmetry: No. 63.

```
data_BaNd2ReN4
_chemical_formula_sum 'Ba2 Nd4 Re2 N8'
_space_group_name_H-M_alt 'P 1'
_space_group_IT_number 1
_cell_length_a 3.5762
_cell_length_b 6.6493
_cell_length_c 12.5491
_cell_angle_alpha 90.00
_cell_angle_beta 90.00
_cell_angle_gamma 105.60
loop_
_space_group_symop_operation_xyz
'x,y,z'
loop_
_atom_site_label
_atom_site_fract_x
_atom_site_fract_y
_atom_site_fract_z
N1 0.2579 0.5158 0.3843
N2 0.7421 0.4842 0.8843
N3 0.0000 0.0000 0.0000
N4 0.2579 0.5158 0.1157
N5 0.6147 0.2295 0.2500
N6 0.3853 0.7705 0.7500
N7 0.7421 0.4842 0.6157
N8 0.0000 0.0000 0.5000
Nd1 0.3709 0.7418 0.9598
Nd2 0.3709 0.7418 0.5402
Nd3 0.6291 0.2582 0.0402
Nd4 0.6291 0.2582 0.4598
Re1 0.1946 0.3892 0.2500
Re2 0.8054 0.6108 0.7500
Ba1 0.0630 0.1259 0.7500
Ba2 0.9370 0.8741 0.2500
```